1.
{"formula": "Bi2Ru2I", "functional": "PBE", "state": "relaxed", "lattice": [[8.024, 0.000, 0.000], [0.000, 8.024, 0.000], [0.000, 0.000, 3.456]], "species": ["Bi", "Bi", "Bi", "Bi", "I", "I", "Ru", "Ru", "Ru", "Ru"], "fractional_positions": [[0.647, 0.853, 0.500], [0.853, 0.353, 0.500], [0.147, 0.647, 0.500], [0.353, 0.147, 0.500], [0.000, 0.000, 0.000], [0.500, 0.500, 0.000], [0.363, 0.863, 0.000], [0.137, 0.363, 0.000], [0.637, 0.137, 0.000], [0.863, 0.637, 0.000]], "total_magnetization_mub_per_cell": 0.00, "dos_at_fermi_per_ev_fu": 6.39, "crystal_system": "tetragonal", "energy_ev_per_atom": -5.095, "e_above_lowest_polymorph_mev_per_atom": 0, "spacegroup": "P4/mbm", "formation_energy_uncorrected_mev_per_atom": 478}


2.
{"formula": "Ni7Sn2Sb2Ir", "functional": "PBE", "state": "relaxed", "lattice": [[-0.321, 3.564, 0.517], [-3.521, -0.202, -0.797], [-5.177, -0.771, 14.820]], "species": ["Ni", "Ni", "Ni", "Ni", "Ni", "Ni", "Ni", "Sb", "Sb", "Sn", "Sn", "Ir"], "fractional_positions": [[0.059, 0.559, 0.883], [0.696, 0.696, 0.607], [0.304, 0.304, 0.393], [0.941, 0.441, 0.117], [0.441, 0.941, 0.117], [0.500, 0.500, 0.000], [0.559, 0.059, 0.883], [0.617, 0.617, 0.767], [0.383, 0.383, 0.233], [0.785, 0.785, 0.431], [0.215, 0.215, 0.569], [0.000, 0.000, 0.000]], "total_magnetization_mub_per_cell": 2.23, "dos_at_fermi_per_ev_fu": 10.49, "crystal_system": "monoclinic", "energy_ev_per_atom": -5.518, "spacegroup": "C2/m", "formation_energy_uncorrected_mev_per_atom": -53}